ZnH4Rh: relaxed, PBE.

Unit cell a=5.4759 b=10.4642 c=4.6700 alpha=90.00 beta=124.95 gamma=90.00
Last column: nearest neighbours and their distance in Å.
Space group C2/c (No. 15)
Symmetry-distinct sites (fractional):
Zn  0.0000  0.1732  0.2500 x4  4 H 1.97-2.04
H  0.1880  0.3253  0.1708 x8  1 Rh 1.64
H  0.2120  0.4521  0.7070 x8  2 Rh 1.78-1.83, 1 Zn 1.97
Rh  0.0000  0.4231  0.2500 x4  6 H 1.64-1.83

Values from the calculation:
final energy	-3.68	eV/atom
N(E_F)	0.75	states/eV/f.u.